1.
LuZnPd2, relaxed, DFT GGA-PBE; space group = F-43m, No. 216
1.0
2.0717 -2.2068 -3.4993
2.6759 -3.6785 0.8453
-1.4206 -4.2267 -1.2343
Lu Pd Zn
1 2 1
direct
0.2500 0.2500 0.2500
0.0000 0.0000 0.0000
0.7500 0.7500 0.7500
0.5000 0.5000 0.5000

2.
Pm2Lu, relaxed, DFT GGA-PBE; space group = Fd-3m, No. 227
1.0
0.0000 6.3723 6.3723
6.3723 0.0000 6.3723
6.3723 6.3723 0.0000
Lu Pm
2 4
direct
0.0000 0.0000 0.0000
0.2500 0.2500 0.2500
0.1250 0.1250 0.1250
0.6250 0.1250 0.1250
0.1250 0.6250 0.1250
0.1250 0.1250 0.6250

3.
PmLuPu, relaxed, DFT GGA-PBE; space group = F-43m, No. 216
1.0
-1.4793 -5.0211 -0.7400
-4.7836 -1.0829 -1.9726
-0.4642 -1.9237 -4.9021
Lu Pm Pu
1 1 1
direct
0.2500 0.2500 0.2500
0.0000 0.0000 0.0000
0.7500 0.7500 0.7500

The evaluated energy of formation for the records listed, in turn: -610.8; 2369.5; 807.5 meV per atom.
The evaluated magnetization for the records listed, in turn: 0.00; 0.16; 7.36 μB/f.u..